No. 1
An optimized crystal structure of Ca2TlIF. Source: the Alexandria database, functional PBE-GGA.

calculated total energy: -3.249 eV/atom
raw formation energy: -6.5 eV per formula unit
D(E_F): 0.65 states/eV/atom

abc: 4.907 4.907 5.995
angles: 90.00 90.00 90.00
Space group P4/mmm (No. 123)
Unique sites:
Ca (0.000, 0.500, 0.000) [2 per cell]
Tl (0.000, 0.000, 0.500) [1 per cell]
I (0.500, 0.500, 0.500) [1 per cell]
F (0.500, 0.500, 0.000) [1 per cell]

---

No. 2
An optimized crystal structure of CaZrIF2. Source: the Alexandria database, functional PBE-GGA.

calculated total energy: -4.897 eV/atom
raw formation energy: -8.6 eV per formula unit
D(E_F): 0.53 states/eV/atom

abc: 4.350 4.350 6.697
angles: 90.00 90.00 90.00
Space group P4/mmm (No. 123)
Unique sites:
Ca (0.000, 0.000, 0.000) [1 per cell]
Zr (0.500, 0.500, 0.500) [1 per cell]
I (0.500, 0.500, 0.000) [1 per cell]
F (0.000, 0.500, 0.500) [2 per cell]

---

No. 3
An optimized crystal structure of Ca2InF. Source: the Alexandria database, functional PBE-GGA.

calculated total energy: -3.585 eV/atom
raw formation energy: -5.7 eV per formula unit
D(E_F): 0.27 states/eV/atom

abc: 3.8301 3.8301 23.3543
angles: 90.00 90.00 120.00
Space group R-3m (No. 166, hexagonal axes)
Unique sites:
Ca (0.0000, 0.0000, 0.2337) [6 per cell]
In (0.0000, 0.0000, 0.0000) [3 per cell]
F (0.0000, 0.0000, 0.5000) [3 per cell]

---

No. 4
An optimized crystal structure of CaInF3. Source: the Alexandria database, functional PBE-GGA.

calculated total energy: -4.212 eV/atom
raw formation energy: -10.7 eV per formula unit
D(E_F): 0.15 states/eV/atom

abc: 4.628 4.628 4.628
angles: 90.00 90.00 90.00
Space group Pm-3m (No. 221)
Unique sites:
Ca (0.000, 0.000, 0.000) [1 per cell]
In (0.500, 0.500, 0.500) [1 per cell]
F (0.000, 0.500, 0.500) [3 per cell]

---

No. 5
An optimized crystal structure of CaIn2F6. Source: the Alexandria database, functional PBE-GGA.

calculated total energy: -4.852 eV/atom
raw formation energy: -25.0 eV per formula unit
D(E_F): 0.00 states/eV/atom

abc: 7.687 13.923 5.707
angles: 90.00 119.15 90.00
Space group C2/c (No. 15)
Unique sites:
Ca (0.000, 0.096, 0.250) [4 per cell]
In (0.116, 0.357, 0.026) [8 per cell]
F (0.118, 0.195, 0.027) [8 per cell]
F (0.179, 0.342, 0.434) [8 per cell]
F (0.187, 0.028, 0.741) [8 per cell]

---

No. 6
An optimized crystal structure of CaInF2. Source: the Alexandria database, functional PBE-GGA.

calculated total energy: -4.826 eV/atom
raw formation energy: -10.8 eV per formula unit
D(E_F): 0.22 states/eV/atom

abc: 3.5480 3.5480 25.4961
angles: 90.00 90.00 120.00
Space group R-3m (No. 166, hexagonal axes)
Unique sites:
Ca (0.0000, 0.0000, 0.0000) [3 per cell]
In (0.0000, 0.0000, 0.5000) [3 per cell]
F (0.0000, 0.0000, 0.3721) [6 per cell]

---

No. 7
An optimized crystal structure of Ca4In2F. Source: the Alexandria database, functional PBE-GGA.

calculated total energy: -3.222 eV/atom
raw formation energy: -7.2 eV per formula unit
D(E_F): 0.77 states/eV/atom

abc: 4.659 4.659 18.840
angles: 90.00 90.00 90.00
Space group I4/mmm (No. 139)
Unique sites:
Ca (0.000, 0.000, 0.188) [4 per cell]
Ca (0.000, 0.500, 0.000) [4 per cell]
In (0.000, 0.000, 0.367) [4 per cell]
F (0.000, 0.000, 0.000) [2 per cell]

---

No. 8
An optimized crystal structure of CaIn3F. Source: the Alexandria database, functional PBE-GGA.

calculated total energy: -2.143 eV/atom
raw formation energy: 1.4 eV per formula unit
D(E_F): 1.79 states/eV/atom

abc: 6.129 6.129 6.129
angles: 90.00 90.00 90.00
Space group Pm-3m (No. 221)
Unique sites:
Ca (0.000, 0.000, 0.000) [1 per cell]
In (0.000, 0.000, 0.500) [3 per cell]
F (0.500, 0.500, 0.500) [1 per cell]

---

No. 9
An optimized crystal structure of CaInF2. Source: the Alexandria database, functional PBE-GGA.

calculated total energy: -4.548 eV/atom
raw formation energy: -9.7 eV per formula unit
D(E_F): 0.58 states/eV/atom

abc: 6.140 6.140 11.036
angles: 90.00 90.00 90.00
Space group I-42d (No. 122)
Unique sites:
Ca (0.000, 0.000, 0.000) [4 per cell]
In (0.000, 0.000, 0.500) [4 per cell]
F (0.106, 0.250, 0.125) [8 per cell]

---

No. 10
An optimized crystal structure of Ca2InF. Source: the Alexandria database, functional PBE-GGA.

calculated total energy: -3.136 eV/atom
raw formation energy: -3.9 eV per formula unit
D(E_F): 0.91 states/eV/atom

abc: 7.519 7.519 7.519
angles: 90.00 90.00 90.00
Space group Fm-3m (No. 225)
Unique sites:
Ca (0.250, 0.250, 0.250) [8 per cell]
In (0.000, 0.000, 0.000) [4 per cell]
F (0.000, 0.000, 0.500) [4 per cell]

---

No. 11
An optimized crystal structure of CaInF2. Source: the Alexandria database, functional PBE-GGA.

calculated total energy: -4.175 eV/atom
raw formation energy: -8.2 eV per formula unit
D(E_F): 0.23 states/eV/atom

abc: 4.2294 4.2294 20.8213
angles: 90.00 90.00 120.00
Space group R-3m (No. 166, hexagonal axes)
Unique sites:
Ca (0.0000, 0.0000, 0.0000) [3 per cell]
In (0.0000, 0.0000, 0.5000) [3 per cell]
F (0.0000, 0.0000, 0.1021) [6 per cell]

---

No. 12
An optimized crystal structure of Ca3InF. Source: the Alexandria database, functional PBE-GGA.

calculated total energy: -3.417 eV/atom
raw formation energy: -6.5 eV per formula unit
D(E_F): 0.05 states/eV/atom

abc: 4.989 4.989 4.989
angles: 90.00 90.00 90.00
Space group Pm-3m (No. 221)
Unique sites:
Ca (0.000, 0.000, 0.500) [3 per cell]
In (0.500, 0.500, 0.500) [1 per cell]
F (0.000, 0.000, 0.000) [1 per cell]

---

No. 13
An optimized crystal structure of Ca2InF. Source: the Alexandria database, functional PBE-GGA.

calculated total energy: -3.422 eV/atom
raw formation energy: -5.1 eV per formula unit
D(E_F): 0.36 states/eV/atom

abc: 3.430 3.430 8.039
angles: 90.00 90.00 90.00
Space group P4/mmm (No. 123)
Unique sites:
Ca (0.000, 0.000, 0.228) [2 per cell]
In (0.500, 0.500, 0.500) [1 per cell]
F (0.500, 0.500, 0.000) [1 per cell]

---

No. 14
An optimized crystal structure of Ca2InF. Source: the Alexandria database, functional PBE-GGA.

calculated total energy: -3.666 eV/atom
raw formation energy: -6.1 eV per formula unit
D(E_F): 0.31 states/eV/atom

abc: 7.243 7.243 8.047
angles: 90.00 90.00 90.00
Space group I-42d (No. 122)
Unique sites:
Ca (0.149, 0.250, 0.125) [8 per cell]
In (0.000, 0.000, 0.500) [4 per cell]
F (0.000, 0.000, 0.000) [4 per cell]

---

No. 15
An optimized crystal structure of CaInF2. Source: the Alexandria database, functional PBE-GGA.

calculated total energy: -4.017 eV/atom
raw formation energy: -7.6 eV per formula unit
D(E_F): 0.91 states/eV/atom

abc: 6.625 6.625 6.625
angles: 90.00 90.00 90.00
Space group Fm-3m (No. 225)
Unique sites:
Ca (0.000, 0.000, 0.000) [4 per cell]
In (0.000, 0.000, 0.500) [4 per cell]
F (0.250, 0.250, 0.250) [8 per cell]

---

No. 16
An optimized crystal structure of CaIn3F. Source: the Alexandria database, functional PBE-GGA.

calculated total energy: -3.119 eV/atom
raw formation energy: -3.5 eV per formula unit
D(E_F): 0.67 states/eV/atom

abc: 5.071 5.071 5.071
angles: 90.00 90.00 90.00
Space group Pm-3m (No. 221)
Unique sites:
Ca (0.000, 0.000, 0.000) [1 per cell]
In (0.000, 0.500, 0.500) [3 per cell]
F (0.500, 0.500, 0.500) [1 per cell]

---

No. 17
An optimized crystal structure of Ca2LaInF. Source: the Alexandria database, functional PBE-GGA.

calculated total energy: -3.914 eV/atom
raw formation energy: -6.0 eV per formula unit
D(E_F): 0.74 states/eV/atom

abc: 4.978 4.978 5.272
angles: 90.00 90.00 90.00
Space group P4/mmm (No. 123)
Unique sites:
Ca (0.000, 0.500, 0.000) [2 per cell]
La (0.000, 0.000, 0.500) [1 per cell]
In (0.500, 0.500, 0.500) [1 per cell]
F (0.000, 0.000, 0.000) [1 per cell]

---

No. 18
An optimized crystal structure of CaLa2InF. Source: the Alexandria database, functional PBE-GGA.

calculated total energy: -4.487 eV/atom
raw formation energy: -6.0 eV per formula unit
D(E_F): 0.98 states/eV/atom

abc: 5.216 5.216 4.900
angles: 90.00 90.00 90.00
Space group P4/mmm (No. 123)
Unique sites:
Ca (0.000, 0.000, 0.000) [1 per cell]
La (0.000, 0.500, 0.500) [2 per cell]
In (0.500, 0.500, 0.000) [1 per cell]
F (0.000, 0.000, 0.500) [1 per cell]

---

No. 19
An optimized crystal structure of LiCaInF6. Source: the Alexandria database, functional PBE-GGA.

calculated total energy: -5.070 eV/atom
raw formation energy: -27.7 eV per formula unit
D(E_F): 0.00 states/eV/atom

abc: 5.035 5.035 10.058
angles: 90.00 90.00 90.00
Space group P4_2nm (No. 102)
Unique sites:
Li (0.000, 0.000, 0.000) [2 per cell]
Ca (0.000, 0.000, 0.668) [2 per cell]
In (0.000, 0.000, 0.335) [2 per cell]
F (0.184, 0.184, 0.170) [4 per cell]
F (0.201, 0.201, 0.490) [4 per cell]
F (0.203, 0.203, 0.842) [4 per cell]

---

No. 20
An optimized crystal structure of Li2CaInF. Source: the Alexandria database, functional PBE-GGA.

calculated total energy: -1.726 eV/atom
raw formation energy: 1.8 eV per formula unit
D(E_F): 1.11 states/eV/atom

abc: 6.128 6.128 6.126
angles: 90.00 90.00 90.00
Space group P4/mmm (No. 123)
Unique sites:
Li (0.000, 0.500, 0.000) [2 per cell]
Ca (0.000, 0.000, 0.000) [1 per cell]
In (0.000, 0.000, 0.500) [1 per cell]
F (0.500, 0.500, 0.500) [1 per cell]

---

No. 21
An optimized crystal structure of Li2CaInF8. Source: the Alexandria database, functional PBE-GGA.

calculated total energy: -4.700 eV/atom
raw formation energy: -32.9 eV per formula unit
D(E_F): 1.28 states/eV/atom

abc: 7.020 7.020 6.660
angles: 90.00 90.00 90.00
Space group I-4m2 (No. 119)
Unique sites:
Li (0.000, 0.000, 0.000) [2 per cell]
Li (0.000, 0.500, 0.250) [2 per cell]
Ca (0.000, 0.500, 0.750) [2 per cell]
In (0.000, 0.000, 0.500) [2 per cell]
F (0.000, 0.178, 0.790) [8 per cell]
F (0.000, 0.301, 0.437) [8 per cell]

---

No. 22
An optimized crystal structure of Li2CaInF. Source: the Alexandria database, functional PBE-GGA.

calculated total energy: -3.316 eV/atom
raw formation energy: -6.1 eV per formula unit
D(E_F): 0.59 states/eV/atom

abc: 4.667 4.667 4.544
angles: 90.00 90.00 90.00
Space group P4/mmm (No. 123)
Unique sites:
Li (0.000, 0.500, 0.000) [2 per cell]
Ca (0.000, 0.000, 0.500) [1 per cell]
In (0.500, 0.500, 0.500) [1 per cell]
F (0.000, 0.000, 0.000) [1 per cell]

---

No. 23
An optimized crystal structure of LiCa2InF. Source: the Alexandria database, functional PBE-GGA.

calculated total energy: -3.452 eV/atom
raw formation energy: -6.7 eV per formula unit
D(E_F): 0.37 states/eV/atom

abc: 5.220 5.220 4.042
angles: 90.00 90.00 90.00
Space group P4/mmm (No. 123)
Unique sites:
Li (0.000, 0.000, 0.000) [1 per cell]
Ca (0.000, 0.500, 0.500) [2 per cell]
In (0.500, 0.500, 0.000) [1 per cell]
F (0.000, 0.000, 0.500) [1 per cell]

---

No. 24
An optimized crystal structure of Ca2MgInF. Source: the Alexandria database, functional PBE-GGA.

calculated total energy: -2.438 eV/atom
raw formation energy: -2.0 eV per formula unit
D(E_F): 0.82 states/eV/atom

abc: 6.264 6.264 4.552
angles: 90.00 90.00 90.00
Space group P4/mmm (No. 123)
Unique sites:
Ca (0.000, 0.500, 0.000) [2 per cell]
Mg (0.000, 0.000, 0.500) [1 per cell]
In (0.500, 0.500, 0.000) [1 per cell]
F (0.500, 0.500, 0.500) [1 per cell]

---

No. 25
An optimized crystal structure of Ca6In2NF. Source: the Alexandria database, functional PBE-GGA.

calculated total energy: -3.830 eV/atom
raw formation energy: -10.6 eV per formula unit
D(E_F): 0.98 states/eV/atom

abc: 9.963 9.963 9.963
angles: 90.00 90.00 90.00
Space group Fm-3m (No. 225)
Unique sites:
Ca (0.000, 0.000, 0.240) [24 per cell]
In (0.250, 0.250, 0.250) [8 per cell]
N (0.000, 0.000, 0.000) [4 per cell]
F (0.000, 0.000, 0.500) [4 per cell]

---

No. 26
An optimized crystal structure of NaCaInF6. Source: the Alexandria database, functional PBE-GGA.

calculated total energy: -4.953 eV/atom
raw formation energy: -27.3 eV per formula unit
D(E_F): 0.00 states/eV/atom

abc: 5.8821 5.8821 9.3880
angles: 90.00 90.00 120.00
Space group P-31c (No. 163)
Unique sites:
Na (0.0000, 0.0000, 0.0000) [2 per cell]
Ca (0.3333, 0.6667, 0.2500) [2 per cell]
In (0.3333, 0.6667, 0.7500) [2 per cell]
F (0.0217, 0.3628, 0.6330) [12 per cell]